# 1
## PmNd3Si4 (PBE)

Data for PmNd3Si4 after structural relaxation.

Energy relative to the elements, uncorrected (eV per formula unit): -4.200
DOS(E_F) (states/eV/atom): 0.93

Cell lengths 4.1373, 6.4239, 16.1292 Å; angles 90.00, 90.00, 90.00 degrees
Last column: nearest neighbours and their distance in Å.
Space group Immm (No. 71)
Asymmetric unit:
Pm1 0.0000 0.0000 0.0000  4 Si 2.94
Nd1 0.0000 0.0000 0.5000  8 Si 3.18
Nd2 0.0000 0.5000 0.3060  6 Si 3.05-3.08
Si1 0.0000 0.3181 0.1311  1 Si 2.34



# 2
## Pm12NdSi4 (PBE)

Data for Pm12NdSi4 after structural relaxation.

Energy relative to the elements, uncorrected (eV per formula unit): -0.484
DOS(E_F) (states/eV/atom): 1.73

Cell lengths 10.5161, 10.5161, 10.5161 Å; angles 90.00, 90.00, 90.00 degrees
Last column: nearest neighbours and their distance in Å.
Space group Im-3 (No. 204)
Asymmetric unit:
Pm1 0.0000 0.1694 0.3253  2 Si 2.87
Nd1 0.0000 0.0000 0.0000  12 Pm 3.86
Si1 0.2500 0.2500 0.2500  6 Pm 2.87